No. 1
Here is an optimized crystal structure of AsRuRh from the Alexandria database. Energies are from PBE.

Cell lengths 5.368, 5.368, 5.368 Å; angles 147.89, 147.89, 46.04 degrees
Atoms (fractional coordinates):
As  0.000  0.000  0.000
Ru  0.642  0.642  0.000
Rh  0.342  0.342  0.000

Values from the calculation:
ΔE_f (meV per atom): -2
Spin magnetization (Bohr magnetons per cell): 0.0
E (eV/atom): -7.09
Energy above the most stable polymorph in this dataset (eV/f.u.): 0.57
Space group: I4mm, No. 107


No. 2
Here is an optimized crystal structure of AsRuRh from the Alexandria database. Energies are from PBE.

Cell lengths 4.793, 4.793, 5.495 Å; angles 102.54, 102.54, 46.83 degrees
Atoms (fractional coordinates):
As  0.000  0.000  0.000
As  0.724  0.724  0.422
Ru  0.347  0.347  0.676
Ru  0.433  0.433  0.230
Rh  0.047  0.047  0.590
Rh  0.701  0.701  0.963

Values from the calculation:
ΔE_f (meV per atom): -125
Spin magnetization (Bohr magnetons per cell): 0.0
E (eV/atom): -7.22
Energy above the most stable polymorph in this dataset (eV/f.u.): 0.20
Space group: Cm, No. 8


No. 3
Here is an optimized crystal structure of As2RuRh from the Alexandria database. Energies are from PBE.

Cell lengths 6.695, 6.695, 6.695 Å; angles 131.31, 131.31, 71.32 degrees
Atoms (fractional coordinates):
As  0.121  0.625  0.996
As  0.375  0.371  0.496
As  0.629  0.125  0.004
As  0.875  0.879  0.504
Ru  0.000  0.000  0.000
Ru  0.750  0.250  0.500
Rh  0.250  0.750  0.500
Rh  0.500  0.500  0.000

Values from the calculation:
ΔE_f (meV per atom): -44
Spin magnetization (Bohr magnetons per cell): 0.0
E (eV/atom): -6.53
Energy above the most stable polymorph in this dataset (eV/f.u.): 0.90
Space group: I-42d, No. 122


No. 4
Here is an optimized crystal structure of AsRuRh from the Alexandria database. Energies are from PBE.

Cell lengths 4.527, 4.527, 6.446 Å; angles 122.13, 122.13, 58.79 degrees
Atoms (fractional coordinates):
As  0.000  0.000  0.000
As  0.747  0.253  0.500
Ru  0.373  0.390  0.092
Ru  0.610  0.627  0.908
Rh  0.017  0.560  0.399
Rh  0.440  0.983  0.601

Values from the calculation:
ΔE_f (meV per atom): -129
Spin magnetization (Bohr magnetons per cell): 0.0
E (eV/atom): -7.22
Energy above the most stable polymorph in this dataset (eV/f.u.): 0.18
Space group: C2, No. 5


No. 5
Here is an optimized crystal structure of AsRu2Rh from the Alexandria database. Energies are from PBE.

Cell lengths 8.388, 8.388, 8.388 Å; angles 19.54, 19.54, 19.54 degrees
Atoms (fractional coordinates):
As  0.000  0.000  0.000
Ru  0.255  0.255  0.255
Ru  0.745  0.745  0.745
Rh  0.500  0.500  0.500

Values from the calculation:
ΔE_f (meV per atom): 149
Spin magnetization (Bohr magnetons per cell): 0.0
E (eV/atom): -7.49
Space group: R-3m, No. 166


No. 6
Here is an optimized crystal structure of AsRu2Rh from the Alexandria database. Energies are from PBE.

Cell lengths 2.932, 2.932, 6.649 Å; angles 90.00, 90.00, 90.00 degrees
Atoms (fractional coordinates):
As  0.000  0.000  0.000
Ru  0.500  0.500  0.222
Ru  0.500  0.500  0.778
Rh  0.000  0.000  0.500

Values from the calculation:
ΔE_f (meV per atom): 99
Spin magnetization (Bohr magnetons per cell): 0.0
E (eV/atom): -7.54
Space group: P4/mmm, No. 123


No. 7
Here is an optimized crystal structure of AsRu2Rh from the Alexandria database. Energies are from PBE.

Cell lengths 2.847, 2.847, 7.103 Å; angles 90.00, 90.00, 90.00 degrees
Atoms (fractional coordinates):
As  0.000  0.000  0.000
Ru  0.000  0.000  0.510
Ru  0.500  0.500  0.751
Rh  0.500  0.500  0.234

Values from the calculation:
ΔE_f (meV per atom): 74
Spin magnetization (Bohr magnetons per cell): 0.0
E (eV/atom): -7.56
Space group: P4mm, No. 99


No. 8
Here is an optimized crystal structure of AsRu2Rh from the Alexandria database. Energies are from PBE.

Cell lengths 3.911, 5.378, 5.378 Å; angles 30.68, 90.00, 90.00 degrees
Atoms (fractional coordinates):
As  0.000  0.000  0.000
Ru  0.000  0.238  0.238
Ru  0.500  0.851  0.851
Rh  0.500  0.593  0.593

Values from the calculation:
ΔE_f (meV per atom): -12
Spin magnetization (Bohr magnetons per cell): 0.0
E (eV/atom): -7.65
Space group: Amm2, No. 38


Question: The lowest E belongs to which entry?
Answer: number 8